[1]
This record from the Alexandria database describes an optimized crystal structure of Lu3Tl2Cu5Se8. The functional is PBE-GGA.

Lattice parameters (Å, degrees): 7.447 7.447 14.718 109.64 109.64 31.74
Element x y z (fractional)
Lu1 0.000 0.000 0.000
Lu2 0.134 0.134 0.385
Lu3 0.833 0.833 0.616
Tl1 0.154 0.154 0.794
Tl2 0.809 0.809 0.200
Cu1 0.386 0.386 0.464
Cu2 0.450 0.450 0.811
Cu3 0.527 0.527 0.191
Cu4 0.582 0.582 0.535
Cu5 0.784 0.784 0.966
Se1 0.124 0.124 0.194
Se2 0.184 0.184 0.587
Se3 0.377 0.377 0.044
Se4 0.475 0.475 0.644
Se5 0.492 0.492 0.357
Se6 0.609 0.609 0.952
Se7 0.784 0.784 0.415
Se8 0.852 0.852 0.814

Output
Density   7.77 g cm⁻³
Formation energy from raw total energies   -0.905 eV per atom
Spin magnetization   0.00 Bohr magnetons per cell
V   402.3 Å³/cell
Calculated total energy   -4.608 eV/atom


[2]
This record from the Alexandria database describes an optimized crystal structure of Lu3Cu4Si4. The functional is PBE-GGA.

Lattice parameters (Å, degrees): 3.860 3.994 12.246 99.33 99.05 90.05
Element x y z (fractional)
Lu1 0.000 0.000 0.000
Lu2 0.148 0.649 0.297
Lu3 0.852 0.351 0.703
Cu1 0.251 0.251 0.502
Cu2 0.405 0.905 0.809
Cu3 0.595 0.095 0.191
Cu4 0.749 0.749 0.498
Si1 0.308 0.808 0.616
Si2 0.450 0.451 0.902
Si3 0.550 0.549 0.098
Si4 0.692 0.192 0.384

Output
DOS(E_F)   0.422 states/eV per atom
Density   8.05 g cm⁻³
Formation energy from raw total energies   -0.596 eV per atom
Spin magnetization   0.00 Bohr magnetons per cell
V   183.9 Å³/cell
Calculated total energy   -5.291 eV/atom


[3]
This record from the Alexandria database describes an optimized crystal structure of LuCuSi. The functional is PBE-GGA.

Lattice parameters (Å, degrees): 4.103 4.103 3.601 90.00 90.00 120.00
Element x y z (fractional)
Lu1 0.000 0.000 0.000
Cu1 0.333 0.667 0.500
Si1 0.667 0.333 0.500

Output
DOS(E_F)   0.258 states/eV per atom
Density   8.43 g cm⁻³
Formation energy from raw total energies   -0.633 eV per atom
Spin magnetization   0.00 Bohr magnetons per cell
V   52.5 Å³/cell
Calculated total energy   -5.313 eV/atom


[4]
This record from the Alexandria database describes an optimized crystal structure of LuCu2Si2. The functional is PBE-GGA.

Lattice parameters (Å, degrees): 3.937 3.937 5.677 110.14 110.14 89.92
Element x y z (fractional)
Lu1 0.000 0.000 0.000
Cu1 0.248 0.752 0.500
Cu2 0.752 0.248 0.500
Si1 0.383 0.383 0.766
Si2 0.617 0.617 0.234

Output
DOS(E_F)   0.208 states/eV per atom
Density   7.74 g cm⁻³
Formation energy from raw total energies   -0.548 eV per atom
Spin magnetization   0.00 Bohr magnetons per cell
V   76.9 Å³/cell
Calculated total energy   -5.260 eV/atom


[5]
This record from the Alexandria database describes an optimized crystal structure of Lu3Cu4Si4. The functional is PBE-GGA.

Lattice parameters (Å, degrees): 7.749 7.749 7.749 149.52 130.54 59.22
Element x y z (fractional)
Lu1 0.000 0.000 0.000
Lu2 0.372 0.872 0.500
Lu3 0.628 0.128 0.500
Cu1 0.023 0.330 0.692
Cu2 0.362 0.670 0.692
Cu3 0.638 0.330 0.308
Cu4 0.977 0.670 0.308
Si1 0.217 0.217 0.000
Si2 0.314 0.500 0.814
Si3 0.686 0.500 0.186
Si4 0.783 0.783 0.000

Output
DOS(E_F)   0.215 states/eV per atom
Density   8.32 g cm⁻³
Formation energy from raw total energies   -0.631 eV per atom
Spin magnetization   0.00 Bohr magnetons per cell
V   177.9 Å³/cell
Calculated total energy   -5.326 eV/atom


[6]
This record from the Alexandria database describes an optimized crystal structure of LuCu2Si. The functional is PBE-GGA.

Lattice parameters (Å, degrees): 5.183 5.183 5.183 45.84 45.84 45.84
Element x y z (fractional)
Lu1 0.000 0.000 0.000
Cu1 0.209 0.209 0.209
Cu2 0.791 0.791 0.791
Si1 0.500 0.500 0.500

Output
DOS(E_F)   0.623 states/eV per atom
Density   8.39 g cm⁻³
Formation energy from raw total energies   -0.350 eV per atom
Spin magnetization   0.00 Bohr magnetons per cell
V   65.3 Å³/cell
Calculated total energy   -4.884 eV/atom


[7]
This record from the Alexandria database describes an optimized crystal structure of LuCuSi. The functional is PBE-GGA.

Lattice parameters (Å, degrees): 5.552 5.552 5.552 146.61 146.61 47.94
Element x y z (fractional)
Lu1 0.000 0.000 0.000
Cu1 0.309 0.309 0.000
Si1 0.696 0.696 0.000

Output
DOS(E_F)   0.623 states/eV per atom
Density   8.57 g cm⁻³
Formation energy from raw total energies   -0.205 eV per atom
Spin magnetization   0.00 Bohr magnetons per cell
V   51.6 Å³/cell
Calculated total energy   -4.885 eV/atom


[8]
This record from the Alexandria database describes an optimized crystal structure of SmLuCuSi. The functional is PBE-GGA.

Lattice parameters (Å, degrees): 4.936 4.936 4.936 60.00 60.00 60.00
Element x y z (fractional)
Sm1 0.000 0.000 0.000
Lu1 0.500 0.500 0.500
Cu1 0.250 0.250 0.250
Si1 0.750 0.750 0.750

Output
DOS(E_F)   0.740 states/eV per atom
Density   8.14 g cm⁻³
Formation energy from raw total energies   -0.400 eV per atom
Spin magnetization   0.00 Bohr magnetons per cell
V   85.0 Å³/cell
Calculated total energy   -5.090 eV/atom


[9]
This record from the Alexandria database describes an optimized crystal structure of TbLuCuSi. The functional is PBE-GGA.

Lattice parameters (Å, degrees): 4.889 4.889 4.889 60.00 60.00 60.00
Element x y z (fractional)
Tb1 0.000 0.000 0.000
Lu1 0.500 0.500 0.500
Cu1 0.250 0.250 0.250
Si1 0.750 0.750 0.750

Output
DOS(E_F)   0.730 states/eV per atom
Density   8.55 g cm⁻³
Formation energy from raw total energies   -0.424 eV per atom
Spin magnetization   0.00 Bohr magnetons per cell
V   82.6 Å³/cell
Calculated total energy   -5.091 eV/atom


[10]
This record from the Alexandria database describes an optimized crystal structure of SmLuCuSn. The functional is PBE-GGA.

Lattice parameters (Å, degrees): 5.149 5.149 5.149 60.00 60.00 60.00
Element x y z (fractional)
Sm1 0.000 0.000 0.000
Lu1 0.500 0.500 0.500
Cu1 0.750 0.750 0.750
Sn1 0.250 0.250 0.250

Output
DOS(E_F)   0.880 states/eV per atom
Density   8.73 g cm⁻³
Spin magnetization   0.00 Bohr magnetons per cell
E_form   -0.401 eV/atom
V   96.6 Å³/cell
Calculated total energy   -4.736 eV/atom


[11]
This record from the Alexandria database describes an optimized crystal structure of SmLuCuTc. The functional is PBE-GGA.

Lattice parameters (Å, degrees): 4.869 4.869 4.869 60.00 60.00 60.00
Element x y z (fractional)
Sm1 0.000 0.000 0.000
Lu1 0.500 0.500 0.500
Cu1 0.250 0.250 0.250
Tc1 0.750 0.750 0.750

Output
DOS(E_F)   0.857 states/eV per atom
Density   9.91 g cm⁻³
Spin magnetization   0.00 Bohr magnetons per cell
E_form   -0.074 eV/atom
V   81.6 Å³/cell
Calculated total energy   -6.000 eV/atom


[12]
This record from the Alexandria database describes an optimized crystal structure of LuCu2Sn2. The functional is PBE-GGA.

Lattice parameters (Å, degrees): 4.313 4.313 10.987 90.00 90.00 90.00
Element x y z (fractional)
Lu1 0.250 0.250 0.228
Lu2 0.750 0.750 0.772
Cu1 0.250 0.250 0.643
Cu2 0.250 0.750 0.000
Cu3 0.750 0.250 0.000
Cu4 0.750 0.750 0.357
Sn1 0.250 0.250 0.868
Sn2 0.250 0.750 0.500
Sn3 0.750 0.250 0.500
Sn4 0.750 0.750 0.132

Output
DOS(E_F)   0.314 states/eV per atom
Density   8.76 g cm⁻³
Spin magnetization   0.00 Bohr magnetons per cell
E_form   -0.246 eV/atom
V   204.4 Å³/cell
Calculated total energy   -4.390 eV/atom


[13]
This record from the Alexandria database describes an optimized crystal structure of Lu2CuSn. The functional is PBE-GGA.

Lattice parameters (Å, degrees): 3.438 3.438 7.587 90.00 90.00 90.00
Element x y z (fractional)
Lu1 0.000 0.000 0.223
Lu2 0.000 0.000 0.777
Cu1 0.500 0.500 0.000
Sn1 0.500 0.500 0.500

Output
DOS(E_F)   0.627 states/eV per atom
Density   9.85 g cm⁻³
Spin magnetization   0.00 Bohr magnetons per cell
E_form   -0.409 eV/atom
V   89.7 Å³/cell
Calculated total energy   -4.694 eV/atom


[14]
This record from the Alexandria database describes an optimized crystal structure of LuCuSn. The functional is PBE-GGA.

Lattice parameters (Å, degrees): 4.528 4.528 3.494 90.00 90.00 120.00
Element x y z (fractional)
Lu1 0.000 0.000 0.000
Cu1 0.333 0.667 0.500
Sn1 0.667 0.333 0.500

Output
DOS(E_F)   0.373 states/eV per atom
Density   9.56 g cm⁻³
Spin magnetization   0.00 Bohr magnetons per cell
E_form   -0.472 eV/atom
V   62.0 Å³/cell
Calculated total energy   -4.678 eV/atom


[15]
This record from the Alexandria database describes an optimized crystal structure of LuCuSn2. The functional is PBE-GGA.

Lattice parameters (Å, degrees): 3.615 3.615 6.773 90.00 90.00 90.00
Element x y z (fractional)
Lu1 0.000 0.000 0.000
Cu1 0.000 0.000 0.500
Sn1 0.500 0.500 0.285
Sn2 0.500 0.500 0.715

Output
DOS(E_F)   0.738 states/eV per atom
Density   8.93 g cm⁻³
Spin magnetization   0.00 Bohr magnetons per cell
E_form   -0.161 eV/atom
V   88.5 Å³/cell
Calculated total energy   -4.317 eV/atom


[16]
This record from the Alexandria database describes an optimized crystal structure of LuCuSn. The functional is PBE-GGA.

Lattice parameters (Å, degrees): 6.135 6.135 6.135 148.38 148.38 45.32
Element x y z (fractional)
Lu1 0.000 0.000 0.000
Cu1 0.645 0.645 0.000
Sn1 0.293 0.293 0.000

Output
DOS(E_F)   0.351 states/eV per atom
Density   9.38 g cm⁻³
Spin magnetization   0.00 Bohr magnetons per cell
E_form   -0.265 eV/atom
V   63.2 Å³/cell
Calculated total energy   -4.472 eV/atom


[17]
This record from the Alexandria database describes an optimized crystal structure of LuCuSn. The functional is PBE-GGA.

Lattice parameters (Å, degrees): 4.321 4.321 8.617 90.00 90.00 120.00
Element x y z (fractional)
Lu1 0.000 0.000 0.184
Lu2 0.000 0.000 0.816
Cu1 0.333 0.667 0.006
Cu2 0.667 0.333 0.994
Sn1 0.333 0.667 0.414
Sn2 0.667 0.333 0.586

Output
DOS(E_F)   0.696 states/eV per atom
Density   8.52 g cm⁻³
Spin magnetization   0.00 Bohr magnetons per cell
E_form   -0.217 eV/atom
V   139.3 Å³/cell
Calculated total energy   -4.424 eV/atom


[18]
This record from the Alexandria database describes an optimized crystal structure of Lu2CuSn. The functional is PBE-GGA.

Lattice parameters (Å, degrees): 9.984 9.984 9.984 20.75 20.75 20.75
Element x y z (fractional)
Lu1 0.105 0.105 0.105
Lu2 0.895 0.895 0.895
Cu1 0.500 0.500 0.500
Sn1 0.000 0.000 0.000

Output
DOS(E_F)   0.758 states/eV per atom
Density   8.08 g cm⁻³
Spin magnetization   0.00 Bohr magnetons per cell
E_form   0.076 eV/atom
V   109.4 Å³/cell
Calculated total energy   -4.210 eV/atom


[19]
This record from the Alexandria database describes an optimized crystal structure of Lu3Cu4Sn4. The functional is PBE-GGA.

Lattice parameters (Å, degrees): 8.262 8.262 6.938 113.50 113.50 31.01
Element x y z (fractional)
Lu1 0.000 0.000 0.000
Lu2 0.129 0.129 0.652
Lu3 0.871 0.871 0.348
Cu1 0.308 0.308 0.611
Cu2 0.348 0.348 0.023
Cu3 0.652 0.652 0.977
Cu4 0.692 0.692 0.389
Sn1 0.218 0.218 0.191
Sn2 0.484 0.484 0.688
Sn3 0.516 0.516 0.312
Sn4 0.782 0.782 0.809

Output
DOS(E_F)   0.266 states/eV per atom
Density   9.38 g cm⁻³
Spin magnetization   0.00 Bohr magnetons per cell
E_form   -0.448 eV/atom
V   222.1 Å³/cell
Calculated total energy   -4.626 eV/atom


[20]
This record from the Alexandria database describes an optimized crystal structure of LuCuSn. The functional is PBE-GGA.

Lattice parameters (Å, degrees): 4.514 4.514 7.080 90.00 90.00 120.00
Element x y z (fractional)
Lu1 0.000 0.000 0.000
Lu2 0.000 0.000 0.500
Cu1 0.333 0.667 0.250
Cu2 0.667 0.333 0.750
Sn1 0.333 0.667 0.750
Sn2 0.667 0.333 0.250

Output
DOS(E_F)   0.318 states/eV per atom
Density   9.49 g cm⁻³
Spin magnetization   0.00 Bohr magnetons per cell
E_form   -0.503 eV/atom
V   125.0 Å³/cell
Calculated total energy   -4.710 eV/atom